No. 1
A plane-wave DFT calculation with PBE was carried out for an optimized crystal structure of BaV2Cd.

The space group is I4_1/amd (No. 141, origin choice 2) and the conventional cell measures 4.623, 4.623 and 20.929 Å, with angles of 90.00, 90.00 and 90.00 degrees. The distinct sites, in fractional coordinates, are Ba at (0.000, 0.250, 0.375), V at (0.000, 0.000, 0.000) and Cd at (0.000, 0.250, 0.875).

The calculation puts the energy relative to the elements at 3.75 eV per formula unit.

No. 2
A plane-wave DFT calculation with PBE was carried out for an optimized crystal structure of Rb2SmCdBr6.

The space group is Pmmn (No. 59, origin choice 2) and the conventional cell measures 8.432, 11.752 and 8.227 Å, with angles of 90.00, 90.00 and 90.00 degrees. The distinct sites, in fractional coordinates, are Rb at (0.250, 0.033, 0.221), Sm at (0.250, 0.250, 0.741), Cd at (0.250, 0.750, 0.752), Br at (0.010, 0.250, 0.988), Br at (0.021, 0.250, 0.486) and Br at (0.250, 0.007, 0.762).

Its uncorrected formation energy is -1480.0 meV/atom.

No. 3
A plane-wave DFT calculation with PBE was carried out for an optimized crystal structure of Tb2Nd9In.

The space group is P4/mmm (No. 123) and the conventional cell measures 5.074, 5.074 and 15.531 Å, with angles of 90.00, 90.00 and 90.00 degrees. The distinct sites, in fractional coordinates, are Tb at (0.000, 0.000, 0.169), Nd at (0.000, 0.500, 0.000), Nd at (0.000, 0.500, 0.339), Nd at (0.500, 0.500, 0.170), Nd at (0.500, 0.500, 0.500) and In at (0.000, 0.000, 0.500).

The calculation puts the energy relative to the elements at -0.85 eV per formula unit.

No. 4
A plane-wave DFT calculation with PBE was carried out for an optimized crystal structure of Ba2TlCd3Ga4.

The space group is P-4m2 (No. 115) and the conventional cell measures 4.800, 4.800 and 11.606 Å, with angles of 90.00, 90.00 and 90.00 degrees. The distinct sites, in fractional coordinates, are Ba at (0.000, 0.500, 0.245), Tl at (0.000, 0.000, 0.500), Cd at (0.000, 0.500, 0.875), Cd at (0.500, 0.500, 0.500), Ga at (0.000, 0.000, 0.000), Ga at (0.000, 0.500, 0.640) and Ga at (0.500, 0.500, 0.000).

The calculation puts the energy relative to the elements at -3.12 eV per formula unit.

No. 5
A plane-wave DFT calculation with PBE was carried out for an optimized crystal structure of TcNi2Ag.

The space group is Pmmm (No. 47) and the conventional cell measures 2.670, 3.600 and 5.668 Å, with angles of 90.00, 90.00 and 90.00 degrees. The distinct sites, in fractional coordinates, are Tc at (0.000, 0.000, 0.000), Ni at (0.500, 0.500, 0.217) and Ag at (0.000, 0.000, 0.500).

The calculation puts the energy relative to the elements at 0.85 eV per formula unit.

No. 6
A plane-wave DFT calculation with PBE was carried out for an optimized crystal structure of Tm2ScW.

The space group is R-3m (No. 166, hexagonal axes) and the conventional cell measures 3.1339, 3.1339 and 33.3645 Å, with angles of 90.00, 90.00 and 120.00 degrees. The distinct sites, in fractional coordinates, are Tm at (0.0000, 0.0000, 0.0843), Sc at (0.0000, 0.0000, 0.5000) and W at (0.0000, 0.0000, 0.0000).

The calculation puts the energy relative to the elements at 2.91 eV per formula unit.